Below is a geometry-optimized TeMoP2S structure, with properties calculated at the PBE level.

a = 4.874 Å, b = 4.874 Å, c = 4.477 Å
α = 90.00°, β = 90.00°, γ = 90.00°
Fractional positions:
S  0.000  0.000  0.500
Te  0.500  0.500  0.500
Mo  0.000  0.000  0.000
P  0.000  0.500  0.000
P  0.500  0.000  0.000

Computed properties:
SG: P4/mmm (123)

***

Below is a geometry-optimized TeMoP2S structure, with properties calculated at the PBE level.

a = 5.017 Å, b = 5.017 Å, c = 4.933 Å
α = 90.00°, β = 90.00°, γ = 90.00°
Each line ends with the local moment (μB).
Fractional positions:
Te  0.000  0.000  0.000  0.06
P  0.500  0.000  0.000  -0.24
P  0.000  0.500  0.000  -0.24
Mo  0.500  0.500  0.500  3.44
S  0.000  0.000  0.500  -0.12

Computed properties:
SG: P4/mmm (123)

***

Below is a geometry-optimized TiMoP2S structure, with properties calculated at the PBE level.

a = 4.684 Å, b = 4.684 Å, c = 4.579 Å
α = 90.00°, β = 90.00°, γ = 90.00°
Each line ends with the local moment (μB).
Fractional positions:
P  0.000  0.500  0.000  -0.17
P  0.500  0.000  0.000  -0.17
S  0.000  0.000  0.500  -0.17
Ti  0.000  0.000  0.000  0.01
Mo  0.500  0.500  0.500  3.11

Computed properties:
SG: P4/mmm (123)

***

Below is a geometry-optimized TiMoP2S structure, with properties calculated at the PBE level.

a = 4.662 Å, b = 4.662 Å, c = 4.692 Å
α = 90.00°, β = 90.00°, γ = 90.00°
Each line ends with the local moment (μB).
Fractional positions:
P  0.500  0.000  0.000  -0.06
P  0.000  0.500  0.000  -0.06
Mo  0.000  0.000  0.000  0.20
S  0.000  0.000  0.500  -0.10
Ti  0.500  0.500  0.500  1.64

Computed properties:
SG: P4/mmm (123)

***

no.,excess energy over the best structure of this formula in the dataset (meV/atom),uncorrected formation energy (eV per formula unit)
1,0,1.930
2,1170,7.782
3,133,2.794
4,0,2.131